Density functional theory data (PBE) for a geometry-optimized NdHoRh structure.

Output
**Calculated volume**: 328.0 Å³ per cell
**DOS at the Fermi energy**: 13.21 states/eV/cell
**Energy above the lowest structure with this stoichiometry**: 16 kJ/mol of formula units
**Energy**: -6.0772 eV/atom
**ΔH_f (0 K)**: -0.51 eV per atom

abc: 6.8964 6.8964 6.8964
angles: 90.00 90.00 90.00
Space group F-43m (No. 216)
Unique sites:
Nd: 0.0000 0.0000 0.0000 (multiplicity 4)
Ho: 0.0000 0.0000 0.5000 (multiplicity 4)
Rh: 0.2500 0.2500 0.7500 (multiplicity 4)



Density functional theory data (PBE) for a geometry-optimized NbAlH structure.

Output
**Calculated volume**: 610.6 Å³ per cell
**DOS at the Fermi energy**: 18.45 states/eV/cell
**Energy above the lowest structure with this stoichiometry**: 15 kJ/mol of formula units
**Energy**: -5.9099 eV/atom

abc: 9.3741 12.1698 5.3528
angles: 90.00 90.00 90.00
Space group Fdd2 (No. 43)
Unique sites:
Nb: 0.0853 0.3060 0.0000 (multiplicity 16)
Al: 0.0792 0.3807 0.5078 (multiplicity 16)
H: 0.0322 0.0697 0.4778 (multiplicity 16)



Density functional theory data (PBE) for a geometry-optimized KPb2Cl8 structure.

Output
**Calculated volume**: 441.2 Å³ per cell
**ΔE_f (raw)**: -9.78 eV/f.u.
**DOS at the Fermi energy**: 3.61 states/eV/cell
**Energy**: -3.0062 eV/atom

abc: 7.7044 7.7044 8.5808
angles: 90.00 90.00 120.00
Space group P-3m1 (No. 164)
Unique sites:
K: 0.0000 0.0000 0.0000 (multiplicity 1)
Pb: 0.3333 0.6667 0.7872 (multiplicity 2)
Cl: 0.1533 0.3066 0.7044 (multiplicity 6)
Cl: 0.3333 0.6667 0.0782 (multiplicity 2)



Density functional theory data (PBE) for a geometry-optimized Cr3NiAg structure.

Output
**Calculated volume**: 117.1 Å³ per cell
**DOS at the Fermi energy**: 7.45 states/eV/cell
**Energy above the lowest structure with this stoichiometry**: 362 kJ/mol of formula units
**Energy**: -5.6008 eV/atom
**ΔH_f (0 K)**: 1.90 eV per atom

abc: 4.8918 4.8918 4.8918
angles: 90.00 90.00 90.00
Space group Pm-3m (No. 221)
Unique sites:
Cr: 0.0000 0.0000 0.5000 (multiplicity 3)
Ni: 0.5000 0.5000 0.5000 (multiplicity 1)
Ag: 0.0000 0.0000 0.0000 (multiplicity 1)



Density functional theory data (PBE) for a geometry-optimized KZn12Au7 structure.

Output
**Calculated volume**: 1090.3 Å³ per cell
**DOS at the Fermi energy**: 21.70 states/eV/cell
**Energy**: -2.0750 eV/atom
**ΔH_f (0 K)**: -0.11 eV per atom

abc: 13.4385 13.4385 6.9712
angles: 90.00 90.00 120.00
Space group R-3m (No. 166, hexagonal axes)
Unique sites:
K: 0.0000 0.0000 0.0000 (multiplicity 3)
Zn: 0.0000 0.2658 0.0000 (multiplicity 18)
Zn: 0.1099 0.5550 0.9891 (multiplicity 18)
Au: 0.0000 0.0000 0.5000 (multiplicity 3)
Au: 0.1037 0.5518 0.3755 (multiplicity 18)



Density functional theory data (PBE) for a geometry-optimized SmY5Er5 structure.

Output
**Calculated volume**: 359.5 Å³ per cell
**DOS at the Fermi energy**: 16.91 states/eV/cell
**Energy above the lowest structure with this stoichiometry**: 0 kJ/mol of formula units
**Energy**: -5.2913 eV/atom
**ΔH_f (0 K)**: 0.15 eV per atom

abc: 6.8529 6.9137 8.3637
angles: 76.14 76.31 71.66
Space group P-1 (No. 2)
Unique sites:
Sm: 0.0000 0.0000 0.0000 (multiplicity 1)
Y: 0.0000 0.5000 0.0000 (multiplicity 1)
Y: 0.1518 0.6382 0.3593 (multiplicity 2)
Y: 0.3163 0.7842 0.6481 (multiplicity 2)
Er: 0.2230 0.1440 0.2966 (multiplicity 2)
Er: 0.3527 0.2577 0.7188 (multiplicity 2)
Er: 0.5000 0.5000 0.0000 (multiplicity 1)



Density functional theory data (PBE) for a geometry-optimized AsIr2Ru structure.

Output
**Calculated volume**: 122.5 Å³ per cell
**DOS at the Fermi energy**: 9.61 states/eV/cell
**Energy**: -7.4819 eV/atom
**ΔH_f (0 K)**: 0.43 eV per atom

abc: 2.7550 4.7898 9.2837
angles: 90.00 90.00 90.00
Space group Cmmm (No. 65)
Unique sites:
As: 0.0000 0.0000 0.0000 (multiplicity 2)
Ir: 0.0000 0.5000 0.2546 (multiplicity 4)
Ru: 0.0000 0.0000 0.5000 (multiplicity 2)



Density functional theory data (PBE) for a geometry-optimized TaCu3 structure.

Output
**Calculated volume**: 55.3 Å³ per cell
**DOS at the Fermi energy**: 1.89 states/eV/cell
**Energy**: -5.8519 eV/atom
**ΔH_f (0 K)**: 0.18 eV per atom

abc: 2.5972 4.3731 4.8655
angles: 90.00 90.00 90.00
Space group Pmm2 (No. 25)
Unique sites:
Ta: 0.0000 0.0000 0.0000 (multiplicity 1)
Cu: 0.0000 0.5000 0.6708 (multiplicity 1)
Cu: 0.5000 0.0000 0.5011 (multiplicity 1)
Cu: 0.5000 0.5000 0.1979 (multiplicity 1)